VASP calculation (GGA+U) on a relaxed structure of MnTlInF6.

Unit cell a=5.7919 b=5.7919 c=11.6802 alpha=90.00 beta=90.00 gamma=120.00
Element x y z (fractional)
Mn 0.3333 0.6667 0.2500
Mn 0.6667 0.3333 0.7500
Tl 0.0000 0.0000 0.0000
Tl 0.0000 0.0000 0.5000
In 0.3333 0.6667 0.7500
In 0.6667 0.3333 0.2500
F 0.0051 0.3830 0.6521
F 0.0051 0.6220 0.8479
F 0.3780 0.3830 0.8479
F 0.3780 0.9949 0.6521
F 0.3830 0.0051 0.1521
F 0.3830 0.3780 0.3479
F 0.6170 0.6220 0.6521
F 0.6170 0.9949 0.8479
F 0.6220 0.0051 0.3479
F 0.6220 0.6170 0.1521
F 0.9949 0.3780 0.1521
F 0.9949 0.6170 0.3479

Values from the calculation:
DFT total energy (eV per formula unit): -45.79
Volume (Å³ per cell): 339.33